KLi3Sb2 after structural relaxation. Source: the Alexandria database, functional PBE.

Computed properties:
Formation energy from raw total energies in eV/atom: -0.422
VASP energy in eV/atom: -2.9358
Polymorph energy (0 for the lowest one) in meV per atom: 0
Spin magnetization in μB per cell: 0.00

a b c (Å): 4.7652 4.7652 15.7492
angles (deg): 90.00 90.00 120.00
Space group P6_3/mmc (No. 194)
Inequivalent atoms, fractional coordinates:
K: 0.0000 0.0000 0.2500 [2 per cell]
Li: 0.0000 0.0000 0.0000 [2 per cell]
Li: 0.3333 0.6667 0.0788 [4 per cell]
Sb: 0.3333 0.6667 0.6007 [4 per cell]



KLiSb after structural relaxation. Source: the Alexandria database, functional PBE.

Computed properties:
Formation energy from raw total energies in eV/atom: -0.379
VASP energy in eV/atom: -2.7574
Polymorph energy (0 for the lowest one) in meV per atom: 62
Spin magnetization in μB per cell: 0.00

a b c (Å): 5.1979 5.1979 3.7593
angles (deg): 90.00 90.00 120.00
Space group P-6m2 (No. 187)
Inequivalent atoms, fractional coordinates:
K: 0.0000 0.0000 0.0000 [1 per cell]
Li: 0.6667 0.3333 0.5000 [1 per cell]
Sb: 0.3333 0.6667 0.5000 [1 per cell]



KLi3Sb after structural relaxation. Source: the Alexandria database, functional PBE.

Computed properties:
Formation energy from raw total energies in eV/atom: -0.317
VASP energy in eV/atom: -2.5096
Polymorph energy (0 for the lowest one) in meV per atom: 0
Spin magnetization in μB per cell: 0.00

a b c (Å): 5.341 5.341 5.341
angles (deg): 90.00 90.00 90.00
Space group Pm-3m (No. 221)
Inequivalent atoms, fractional coordinates:
K: 0.000 0.000 0.000 [1 per cell]
Li: 0.000 0.500 0.500 [3 per cell]
Sb: 0.500 0.500 0.500 [1 per cell]



KLiSb after structural relaxation. Source: the Alexandria database, functional PBE.

Computed properties:
Formation energy from raw total energies in eV/atom: -0.175
VASP energy in eV/atom: -2.5525
Polymorph energy (0 for the lowest one) in meV per atom: 267
Spin magnetization in μB per cell: 2.27

a b c (Å): 7.228 7.228 7.228
angles (deg): 90.00 90.00 90.00
Space group F-43m (No. 216)
Inequivalent atoms, fractional coordinates:
K: 0.000 0.000 0.000 [4 per cell]
Li: 0.250 0.250 0.250 [4 per cell]
Sb: 0.000 0.000 0.500 [4 per cell]



KLi4Sb4 after structural relaxation. Source: the Alexandria database, functional PBE.

Computed properties:
Formation energy from raw total energies in eV/atom: -0.339
VASP energy in eV/atom: -3.1440
Spin magnetization in μB per cell: 0.00

a b c (Å): 9.544 9.544 5.573
angles (deg): 90.00 90.00 90.00
Space group P4_2/n (No. 86, origin choice 2)
Inequivalent atoms, fractional coordinates:
K: 0.250 0.250 0.250 [2 per cell]
Li: 0.104 0.609 0.130 [8 per cell]
Sb: 0.086 0.909 0.134 [8 per cell]



KLi2Sb after structural relaxation. Source: the Alexandria database, functional PBE.

Computed properties:
Formation energy from raw total energies in eV/atom: -0.115
VASP energy in eV/atom: -2.3772
Spin magnetization in μB per cell: 0.00

a b c (Å): 6.987 9.861 3.547
angles (deg): 90.00 116.93 90.00
Space group C2/m (No. 12)
Inequivalent atoms, fractional coordinates:
K: 0.000 0.000 0.000 [2 per cell]
Li: 0.250 0.250 0.500 [4 per cell]
Sb: 0.000 0.500 0.000 [2 per cell]